Material: U2Se3O
Method: DFT, PBE
State: optimized geometry

Unit cell a=6.271 b=6.271 c=6.482 alpha=90.00 beta=90.00 gamma=97.29
Element x y z (fractional)
U  0.216  0.216  0.000
U  0.216  0.216  0.500
U  0.784  0.784  0.000
U  0.784  0.784  0.500
Se  0.085  0.561  0.250
Se  0.421  0.579  0.750
Se  0.439  0.915  0.250
Se  0.561  0.085  0.750
Se  0.579  0.421  0.250
Se  0.915  0.439  0.750
O  0.021  0.979  0.750
O  0.979  0.021  0.250

Properties
For the density, the calculation gives 9.573 g/cm³. As for the crystal system: orthorhombic. The density of states at the Fermi level comes out at 20.3 states/eV/cell. Its total energy is -7.6818 eV per atom.

***

Material: U4Se5O
Method: DFT, PBE
State: optimized geometry

Unit cell a=8.722 b=8.722 c=7.561 alpha=102.81 beta=102.81 gamma=25.83
Element x y z (fractional)
U  0.004  0.004  0.284
U  0.350  0.350  0.423
U  0.650  0.650  0.577
U  0.996  0.996  0.716
Se  0.164  0.164  0.845
Se  0.176  0.176  0.319
Se  0.500  0.500  0.000
Se  0.824  0.824  0.681
Se  0.836  0.836  0.155
O  0.500  0.500  0.500

Properties
For the density, the calculation gives 9.276 g/cm³. As for the crystal system: monoclinic. The density of states at the Fermi level comes out at 17.2 states/eV/cell. Its total energy is -7.9987 eV per atom.

***

Material: U4Se5O4
Method: DFT, PBE
State: optimized geometry

Unit cell a=8.013 b=8.013 c=8.013 alpha=93.30 beta=93.30 gamma=152.22
Element x y z (fractional)
U  0.044  0.712  0.756
U  0.288  0.044  0.332
U  0.712  0.956  0.668
U  0.956  0.288  0.244
Se  0.000  0.000  0.000
Se  0.302  0.635  0.937
Se  0.365  0.302  0.667
Se  0.635  0.698  0.333
Se  0.698  0.365  0.063
O  0.112  0.424  0.536
O  0.424  0.888  0.312
O  0.576  0.112  0.688
O  0.888  0.576  0.464

Properties
For the density, the calculation gives 10.064 g/cm³. As for the crystal system: tetragonal. The density of states at the Fermi level comes out at 25.7 states/eV/cell. Its total energy is -8.3521 eV per atom.

***

Material: U5Se5O
Method: DFT, PBE
State: optimized geometry

Unit cell a=6.743 b=6.743 c=7.876 alpha=107.78 beta=107.78 gamma=48.97
Element x y z (fractional)
U  0.000  0.000  0.000
U  0.343  0.343  0.141
U  0.350  0.350  0.702
U  0.650  0.650  0.298
U  0.657  0.657  0.859
Se  0.151  0.151  0.801
Se  0.178  0.178  0.342
Se  0.500  0.500  0.500
Se  0.822  0.822  0.658
Se  0.849  0.849  0.199
O  0.500  0.500  0.000

Properties
For the density, the calculation gives 10.447 g/cm³. As for the crystal system: monoclinic. The density of states at the Fermi level comes out at 29.5 states/eV/cell. Its total energy is -8.3138 eV per atom.